Density functional theory data (PBE) for an optimized crystal structure of Tb6Co2Ag.

a = 5.0122 Å, b = 5.5836 Å, c = 8.8824 Å
α = 80.84°, β = 90.00°, γ = 116.67°
With the nearest neighbours (Å) after each atom.
Fractional positions:
1 Tb 0.6556 0.3112 0.6144  1 Co 2.57
2 Tb 0.7186 0.4372 0.1564  1 Co 2.63
3 Tb 0.3444 0.6888 0.3856  1 Co 2.57
4 Tb 0.2814 0.5628 0.8436  1 Co 2.63
5 Tb 0.9637 0.9273 0.8381  1 Ag 2.96, 2 Co 3.01, 4 Tb 3.09-3.18
6 Tb 0.0363 0.0727 0.1619  1 Ag 2.96, 2 Co 3.01, 4 Tb 3.09-3.18
7 Ag 0.0000 0.0000 0.5000  6 Tb 2.96-3.21
8 Co 0.6077 0.2154 0.9087  1 Co 2.45, 2 Tb 2.57-2.63
9 Co 0.3923 0.7846 0.0913  1 Co 2.45, 2 Tb 2.57-2.63

energy of formation from the pure elements	-0.07	eV/atom
polymorph energy (0 for the lowest one)	117	meV per atom
SG	No. 12